First-principles (GGA-PBE) data for crystalline Be2TeBr at its relaxed geometry, as listed in the Alexandria database.

calculated total energy: -2.637 eV/atom
formation energy from raw total energies: 0.43 eV per atom
distance to the lowest polymorph of the same formula: 0.511 eV/atom

Cell and atoms, written as extended XYZ:
```
4
Lattice="3.574 0.000 0.000 0.000 7.362 0.000 0.000 0.000 3.526" Properties=species:S:1:pos:R:3 pbc="T T T"
Be 0.000 0.000 0.000
Be 1.787 3.681 0.000
Te 0.000 3.681 1.763
Br 1.787 0.000 1.763
```